(1)
Here is a geometry-optimized LiReTcB structure from OQMD via LeMat-Bulk. Energies are from PBE-GGA.

a = 3.957 Å, b = 3.957 Å, c = 3.957 Å
α = 60.00°, β = 60.00°, γ = 60.00°
Sites, in units of the cell vectors:
1 Li 0.000 0.000 0.000
2 Re 0.250 0.250 0.250
3 Tc 0.750 0.750 0.750
4 B 0.500 0.500 0.500

Values from the calculation:
- excess energy over the best structure of this formula in the dataset (eV per atom) = 0.1776
- volume (Å³/f.u.) = 43.8
- total DFT energy (no corrections) (eV per atom) = -7.37



(2)
Here is a geometry-optimized LiScZnB structure from OQMD via LeMat-Bulk. Energies are from PBE-GGA.

a = 4.135 Å, b = 4.135 Å, c = 4.135 Å
α = 60.00°, β = 60.00°, γ = 60.00°
Sites, in units of the cell vectors:
1 Li 0.000 0.000 0.000
2 Sc 0.750 0.750 0.750
3 Zn 0.250 0.250 0.250
4 B 0.500 0.500 0.500

Values from the calculation:
- excess energy over the best structure of this formula in the dataset (eV per atom) = 0.0000
- volume (Å³/f.u.) = 50.0
- total DFT energy (no corrections) (eV per atom) = -4.00



(3)
Here is a geometry-optimized LiScZnB structure from OQMD via LeMat-Bulk. Energies are from PBE-GGA.

a = 4.160 Å, b = 4.160 Å, c = 4.160 Å
α = 60.00°, β = 60.00°, γ = 60.00°
Sites, in units of the cell vectors:
1 Li 0.000 0.000 0.000
2 Sc 0.250 0.250 0.250
3 Zn 0.500 0.500 0.500
4 B 0.750 0.750 0.750

Values from the calculation:
- excess energy over the best structure of this formula in the dataset (eV per atom) = 0.2179
- volume (Å³/f.u.) = 50.9
- total DFT energy (no corrections) (eV per atom) = -3.78



(4)
Here is a geometry-optimized LiScZnB structure from OQMD via LeMat-Bulk. Energies are from PBE-GGA.

a = 4.250 Å, b = 4.250 Å, c = 4.250 Å
α = 60.00°, β = 60.00°, γ = 60.00°
Sites, in units of the cell vectors:
1 Li 0.000 0.000 0.000
2 Sc 0.500 0.500 0.500
3 Zn 0.750 0.750 0.750
4 B 0.250 0.250 0.250

Values from the calculation:
- excess energy over the best structure of this formula in the dataset (eV per atom) = 0.0248
- volume (Å³/f.u.) = 54.3
- total DFT energy (no corrections) (eV per atom) = -3.97



(5)
Here is a geometry-optimized LiSmB structure from OQMD via LeMat-Bulk. Energies are from PBE-GGA.

a = 4.175 Å, b = 4.175 Å, c = 4.175 Å
α = 60.00°, β = 60.00°, γ = 60.00°
Sites, in units of the cell vectors:
1 Li 0.000 0.000 0.000
2 Sm 0.250 0.250 0.250
3 B 0.750 0.750 0.750

Values from the calculation:
- excess energy over the best structure of this formula in the dataset (eV per atom) = 0.3969
- volume (Å³/f.u.) = 51.5
- total DFT energy (no corrections) (eV per atom) = -3.85



(6)
Here is a geometry-optimized LiSmB structure from OQMD via LeMat-Bulk. Energies are from PBE-GGA.

a = 4.325 Å, b = 4.325 Å, c = 4.325 Å
α = 60.00°, β = 60.00°, γ = 60.00°
Sites, in units of the cell vectors:
1 Li 0.000 0.000 0.000
2 Sm 0.750 0.750 0.750
3 B 0.500 0.500 0.500

Values from the calculation:
- excess energy over the best structure of this formula in the dataset (eV per atom) = 0.5721
- volume (Å³/f.u.) = 57.2
- total DFT energy (no corrections) (eV per atom) = -3.68



(7)
Here is a geometry-optimized LiSmB4 structure from OQMD via LeMat-Bulk. Energies are from PBE-GGA.

a = 3.246 Å, b = 3.246 Å, c = 6.333 Å
α = 90.00°, β = 90.00°, γ = 120.00°
Sites, in units of the cell vectors:
1 Li 0.000 0.000 0.000
2 Sm 0.000 0.000 0.500
3 B 0.333 0.667 0.186
4 B 0.333 0.667 0.814
5 B 0.667 0.333 0.186
6 B 0.667 0.333 0.814

Values from the calculation:
- excess energy over the best structure of this formula in the dataset (eV per atom) = 0.0210
- volume (Å³/f.u.) = 57.8
- total DFT energy (no corrections) (eV per atom) = -5.69



(8)
Here is a geometry-optimized LiSmB structure from OQMD via LeMat-Bulk. Energies are from PBE-GGA.

a = 4.291 Å, b = 4.291 Å, c = 4.291 Å
α = 60.00°, β = 60.00°, γ = 60.00°
Sites, in units of the cell vectors:
1 Li 0.000 0.000 0.000
2 Sm 0.500 0.500 0.500
3 B 0.250 0.250 0.250

Values from the calculation:
- excess energy over the best structure of this formula in the dataset (eV per atom) = 0.0000
- volume (Å³/f.u.) = 55.9
- total DFT energy (no corrections) (eV per atom) = -4.25